[1]
TbTh3Bi4 (PBE, relaxed); Fermi-level density of states = 5.2 states/eV per cell; DFT formation energy = -491 kJ/mol of formula units; calculated total energy = -47.51 eV for the cell shown
1.0
4.568 0.000 0.000
0.000 7.923 -0.070
0.000 -2.565 7.496
Tb Th Bi
1 3 4
direct
0.500 0.000 0.000
0.000 0.000 0.500
0.500 0.500 0.500
0.000 0.500 0.000
0.000 0.244 0.244
0.500 0.753 0.247
0.000 0.756 0.756
0.500 0.247 0.753

***

[2]
CsTcTe2 (PBE, relaxed); Fermi-level density of states = 7.7 states/eV per cell; E_form (uncorrected) = -0.81 eV per formula unit; calculated total energy = -36.62 eV for the cell shown; energy relative to the lowest polymorph listed for this composition = 0 meV/atom
1.0
-4.104 4.104 4.692
4.104 -4.104 4.692
4.104 4.104 -4.692
Cs Tc Te
2 2 4
direct
0.750 0.250 0.500
0.000 0.000 0.000
0.250 0.750 0.500
0.500 0.500 0.000
0.250 0.625 0.125
0.500 0.125 0.875
0.375 0.500 0.625
0.875 0.750 0.375

***

Which of these has the lowest calculated total energy?
TbTh3Bi4